(1)
ZrTiP3 at its PBEsol-relaxed geometry. Source: Alexandria via LeMat-Bulk, functional meta-GGA SCAN.

Properties
- relative energy among the computed polymorphs (meV per atom) = 0
- calculated total energy (eV/atom) = -15.60

Unit cell a=4.5452 b=4.5452 c=4.5452 alpha=90.00 beta=90.00 gamma=90.00
Space group Pm-3m (No. 221)
Symmetry-distinct sites (fractional):
Zr1 0.0000 0.0000 0.0000 x1
Ti1 0.5000 0.5000 0.5000 x1
P1 0.0000 0.5000 0.5000 x3



(2)
ZrTiP3 at its PBEsol-relaxed geometry. Source: Alexandria via LeMat-Bulk, functional meta-GGA SCAN.

Properties
- relative energy among the computed polymorphs (meV per atom) = 383
- calculated total energy (eV/atom) = -15.21

Unit cell a=4.8639 b=4.8639 c=4.8639 alpha=90.00 beta=90.00 gamma=90.00
Space group Pm-3m (No. 221)
Symmetry-distinct sites (fractional):
Zr1 0.0000 0.0000 0.0000 x1
Ti1 0.5000 0.5000 0.5000 x1
P1 0.0000 0.0000 0.5000 x3



(3)
TlP2W at its PBEsol-relaxed geometry. Source: Alexandria via LeMat-Bulk, functional meta-GGA SCAN.

Properties
- relative energy among the computed polymorphs (meV per atom) = 0
- calculated total energy (eV/atom) = -40.53

Unit cell a=8.2317 b=3.2353 c=6.3084 alpha=90.00 beta=106.40 gamma=90.00
Space group Cm (No. 8)
Symmetry-distinct sites (fractional):
Tl1 0.0000 0.0000 0.0000 x2
P1 0.1626 0.5000 0.6101 x2
P2 0.3109 0.5000 0.2945 x2
W1 0.3674 0.0000 0.5823 x2



(4)
TlPW at its PBEsol-relaxed geometry. Source: Alexandria via LeMat-Bulk, functional meta-GGA SCAN.

Properties
- relative energy among the computed polymorphs (meV per atom) = 0
- calculated total energy (eV/atom) = -50.28

Unit cell a=4.1025 b=4.1025 c=3.7661 alpha=90.00 beta=90.00 gamma=120.00
Space group P-6m2 (No. 187)
Symmetry-distinct sites (fractional):
Tl1 0.0000 0.0000 0.0000 x1
P1 0.3333 0.6667 0.5000 x1
W1 0.6667 0.3333 0.5000 x1



(5)
TlPW at its PBEsol-relaxed geometry. Source: Alexandria via LeMat-Bulk, functional meta-GGA SCAN.

Properties
- relative energy among the computed polymorphs (meV per atom) = 68
- calculated total energy (eV/atom) = -50.21

Unit cell a=3.3122 b=4.8629 c=14.3826 alpha=90.00 beta=90.00 gamma=90.00
Space group Fmm2 (No. 42)
Symmetry-distinct sites (fractional):
Tl1 0.0000 0.0000 0.0000 x4
P1 0.0000 0.0000 0.7052 x4
W1 0.0000 0.0000 0.3215 x4



(6)
TlP2W at its PBEsol-relaxed geometry. Source: Alexandria via LeMat-Bulk, functional meta-GGA SCAN.

Properties
- relative energy among the computed polymorphs (meV per atom) = 429
- calculated total energy (eV/atom) = -40.10

Unit cell a=2.9411 b=5.2121 c=9.9886 alpha=90.00 beta=90.00 gamma=90.00
Space group Immm (No. 71)
Symmetry-distinct sites (fractional):
Tl1 0.0000 0.0000 0.0000 x2
P1 0.0000 0.5000 0.1921 x4
W1 0.0000 0.0000 0.5000 x2



(7)
Y4TlP at its PBEsol-relaxed geometry. Source: Alexandria via LeMat-Bulk, functional meta-GGA SCAN.

Properties
- calculated total energy (eV/atom) = -32.02

Unit cell a=8.5737 b=8.5737 c=8.5737 alpha=90.00 beta=90.00 gamma=90.00
Space group F-43m (No. 216)
Symmetry-distinct sites (fractional):
Y1 0.1251 0.1251 0.1251 x16
Tl1 0.0000 0.0000 0.5000 x4
P1 0.2500 0.2500 0.7500 x4



(8)
YTl4P at its PBEsol-relaxed geometry. Source: Alexandria via LeMat-Bulk, functional meta-GGA SCAN.

Properties
- calculated total energy (eV/atom) = -54.34

Unit cell a=8.5493 b=8.5493 c=8.5493 alpha=90.00 beta=90.00 gamma=90.00
Space group F-43m (No. 216)
Symmetry-distinct sites (fractional):
Y1 0.0000 0.0000 0.0000 x4
Tl1 0.1248 0.1248 0.3752 x16
P1 0.2500 0.2500 0.7500 x4



(9)
Y2TlP2 at its PBEsol-relaxed geometry. Source: Alexandria via LeMat-Bulk, functional meta-GGA SCAN.

Properties
- calculated total energy (eV/atom) = -30.89

Unit cell a=7.6542 b=7.6542 c=3.6732 alpha=90.00 beta=90.00 gamma=90.00
Space group P4/mbm (No. 127)
Symmetry-distinct sites (fractional):
Y1 0.1570 0.3430 0.0000 x4
Tl1 0.0000 0.0000 0.5000 x2
P1 0.1444 0.6444 0.5000 x4



(10)
TlZn2P at its PBEsol-relaxed geometry. Source: Alexandria via LeMat-Bulk, functional meta-GGA SCAN.

Properties
- calculated total energy (eV/atom) = -27.17

Unit cell a=3.6637 b=5.5573 c=7.6618 alpha=90.00 beta=90.00 gamma=90.00
Space group Immm (No. 71)
Symmetry-distinct sites (fractional):
Tl1 0.0000 0.0000 0.0000 x2
Zn1 0.0000 0.5000 0.2086 x4
P1 0.0000 0.0000 0.5000 x2



(11)
Zr2TlP at its PBEsol-relaxed geometry. Source: Alexandria via LeMat-Bulk, functional meta-GGA SCAN.

Properties
- relative energy among the computed polymorphs (meV per atom) = 448
- calculated total energy (eV/atom) = -36.52

Unit cell a=6.2506 b=7.5574 c=3.4034 alpha=90.00 beta=101.40 gamma=90.00
Space group C2/m (No. 12)
Symmetry-distinct sites (fractional):
Zr1 0.2500 0.2500 0.0000 x4
Tl1 0.0000 0.0000 0.5000 x2
P1 0.0000 0.5000 0.5000 x2



(12)
ZrTlP4 at its PBEsol-relaxed geometry. Source: Alexandria via LeMat-Bulk, functional meta-GGA SCAN.

Properties
- calculated total energy (eV/atom) = -23.80

Unit cell a=7.3793 b=7.3793 c=7.3793 alpha=90.00 beta=90.00 gamma=90.00
Space group F-43m (No. 216)
Symmetry-distinct sites (fractional):
Zr1 0.0000 0.0000 0.0000 x4
Tl1 0.2500 0.2500 0.2500 x4
P1 0.1279 0.1279 0.6279 x16



(13)
Zr2TlP at its PBEsol-relaxed geometry. Source: Alexandria via LeMat-Bulk, functional meta-GGA SCAN.

Properties
- relative energy among the computed polymorphs (meV per atom) = 0
- calculated total energy (eV/atom) = -36.97

Unit cell a=3.5763 b=3.5763 c=22.5701 alpha=90.00 beta=90.00 gamma=120.00
Space group R-3m (No. 166, hexagonal axes)
Symmetry-distinct sites (fractional):
Zr1 0.0000 0.0000 0.2310 x6
Tl1 0.0000 0.0000 0.0000 x3
P1 0.0000 0.0000 0.5000 x3



(14)
ZrTl3P at its PBEsol-relaxed geometry. Source: Alexandria via LeMat-Bulk, functional meta-GGA SCAN.

Properties
- calculated total energy (eV/atom) = -50.79

Unit cell a=5.1290 b=5.1290 c=5.1290 alpha=90.00 beta=90.00 gamma=90.00
Space group Pm-3m (No. 221)
Symmetry-distinct sites (fractional):
Zr1 0.0000 0.0000 0.0000 x1
Tl1 0.0000 0.5000 0.5000 x3
P1 0.5000 0.5000 0.5000 x1



(15)
Zr2TlP at its PBEsol-relaxed geometry. Source: Alexandria via LeMat-Bulk, functional meta-GGA SCAN.

Properties
- relative energy among the computed polymorphs (meV per atom) = 605
- calculated total energy (eV/atom) = -36.37

Unit cell a=6.7582 b=6.7582 c=6.7582 alpha=90.00 beta=90.00 gamma=90.00
Space group Fm-3m (No. 225)
Symmetry-distinct sites (fractional):
Zr1 0.2500 0.2500 0.2500 x8
Tl1 0.0000 0.0000 0.0000 x4
P1 0.0000 0.0000 0.5000 x4



(16)
UP at its PBEsol-relaxed geometry. Source: Alexandria via LeMat-Bulk, functional meta-GGA SCAN.

Properties
- calculated total energy (eV/atom) = -57.78

Unit cell a=5.4577 b=5.4577 c=5.4577 alpha=90.00 beta=90.00 gamma=90.00
Space group Fm-3m (No. 225)
Symmetry-distinct sites (fractional):
U1 0.0000 0.0000 0.0000 x4
P1 0.0000 0.0000 0.5000 x4



(17)
U3P4 at its PBEsol-relaxed geometry. Source: Alexandria via LeMat-Bulk, functional meta-GGA SCAN.

Properties
- calculated total energy (eV/atom) = -51.19

Unit cell a=8.0186 b=8.0186 c=8.0186 alpha=90.00 beta=90.00 gamma=90.00
Space group I-43d (No. 220)
Symmetry-distinct sites (fractional):
U1 0.0000 0.2500 0.8750 x12
P1 0.0802 0.4198 0.5802 x16



(18)
UP2 at its PBEsol-relaxed geometry. Source: Alexandria via LeMat-Bulk, functional meta-GGA SCAN.

Properties
- calculated total energy (eV/atom) = -42.17

Unit cell a=5.2982 b=5.2982 c=15.0554 alpha=90.00 beta=90.00 gamma=90.00
Space group I4mm (No. 107)
Symmetry-distinct sites (fractional):
U1 0.0000 0.0000 0.0000 x2
U2 0.0000 0.0000 0.4881 x2
U3 0.0000 0.5000 0.2767 x4
P1 0.0000 0.0000 0.3085 x2
P2 0.0000 0.0000 0.8172 x2
P3 0.0000 0.5000 0.4586 x4
P4 0.2308 0.2308 0.6353 x8



(19)
UV5P3 at its PBEsol-relaxed geometry. Source: Alexandria via LeMat-Bulk, functional meta-GGA SCAN.

Properties
- calculated total energy (eV/atom) = -25.53

Unit cell a=7.4446 b=3.2625 c=10.1640 alpha=90.00 beta=100.41 gamma=90.00
Space group P2_1/m (No. 11)
Symmetry-distinct sites (fractional):
U1 0.1930 0.2500 0.2807 x2
V1 0.0743 0.2500 0.5950 x2
V2 0.1292 0.7500 0.0132 x2
V3 0.3157 0.7500 0.7688 x2
V4 0.3766 0.2500 0.9995 x2
V5 0.4714 0.2500 0.5923 x2
P1 0.0976 0.2500 0.8358 x2
P2 0.2512 0.7500 0.5095 x2
P3 0.4312 0.7500 0.1713 x2



(20)
V5P3 at its PBEsol-relaxed geometry. Source: Alexandria via LeMat-Bulk, functional meta-GGA SCAN.

Properties
- calculated total energy (eV/atom) = -15.67

Unit cell a=6.8735 b=6.8735 c=4.7443 alpha=90.00 beta=90.00 gamma=120.00
Space group P6_3/mcm (No. 193)
Symmetry-distinct sites (fractional):
V1 0.0000 0.2528 0.2500 x6
V2 0.3333 0.6667 0.0000 x4
P1 0.0000 0.3878 0.7500 x6



(21)
VP4 at its PBEsol-relaxed geometry. Source: Alexandria via LeMat-Bulk, functional meta-GGA SCAN.

Properties
- calculated total energy (eV/atom) = -12.21

Unit cell a=5.2090 b=10.8919 c=5.7430 alpha=90.00 beta=110.14 gamma=90.00
Space group C2/c (No. 15)
Symmetry-distinct sites (fractional):
V1 0.0000 0.0609 0.2500 x4
P1 0.2255 0.4090 0.3246 x8
P2 0.2264 0.2800 0.8090 x8



(22)
VP2 at its PBEsol-relaxed geometry. Source: Alexandria via LeMat-Bulk, functional meta-GGA SCAN.

Properties
- calculated total energy (eV/atom) = -13.42

Unit cell a=8.3782 b=3.0638 c=7.0909 alpha=90.00 beta=119.18 gamma=90.00
Space group C2/m (No. 12)
Symmetry-distinct sites (fractional):
V1 0.1559 0.0000 0.1974 x4
P1 0.1004 0.5000 0.8995 x4
P2 0.1429 0.0000 0.5300 x4



(23)
V3P at its PBEsol-relaxed geometry. Source: Alexandria via LeMat-Bulk, functional meta-GGA SCAN.

Properties
- calculated total energy (eV/atom) = -16.44

Unit cell a=9.2299 b=9.2299 c=4.6893 alpha=90.00 beta=90.00 gamma=90.00
Space group P4_2/n (No. 86, origin choice 2)
Symmetry-distinct sites (fractional):
V1 0.0344 0.5527 0.2421 x8
V2 0.1024 0.2405 0.0127 x8
V3 0.1588 0.6672 0.7330 x8
P1 0.0416 0.2310 0.5151 x8



(24)
P3W4 at its PBEsol-relaxed geometry. Source: Alexandria via LeMat-Bulk, functional meta-GGA SCAN.

Properties
- calculated total energy (eV/atom) = -44.35

Unit cell a=3.0554 b=3.0554 c=20.8716 alpha=90.00 beta=90.00 gamma=90.00
Space group I4/mmm (No. 139)
Symmetry-distinct sites (fractional):
P1 0.0000 0.0000 0.0000 x2
P2 0.0000 0.0000 0.2863 x4
W1 0.0000 0.0000 0.1617 x4
W2 0.0000 0.0000 0.4308 x4



(25)
P2W at its PBEsol-relaxed geometry. Source: Alexandria via LeMat-Bulk, functional meta-GGA SCAN.

Properties
- relative energy among the computed polymorphs (meV per atom) = 20
- calculated total energy (eV/atom) = -30.50

Unit cell a=8.4560 b=3.1470 c=7.4509 alpha=90.00 beta=119.25 gamma=90.00
Space group C2/m (No. 12)
Symmetry-distinct sites (fractional):
P1 0.1011 0.0000 0.3992 x4
P2 0.1385 0.5000 0.0245 x4
W1 0.1577 0.5000 0.7063 x4



Total magnetic moment across the listed records, respectively: 0.00, 1.87, 0.00, 0.00, 0.00, 0.00, 0.00, 0.00, 0.00, 0.00, 0.00, 0.00, 0.00, 1.99, 0.00, 2.03, 5.91, 1.20, 0.67, 0.00, 0.00, 0.00, 0.00, 0.00, 0.00 μB/f.u..
Energy of formation across the listed records, respectively: -0.01, 0.37, 0.18, 0.54, 0.60, 0.61, 0.33, 0.28, -1.12, 0.28, -0.48, 0.31, -0.93, 0.84, -0.33, -0.81, -0.87, -0.73, -0.84, -0.84, -0.39, -0.66, -0.73, -0.07, -0.34 eV/atom.